# Pm4Al2AgHg

A relaxed structure of Pm4Al2AgHg (GGA-PBE, Alexandria via LeMat-Bulk).

Output
DFT formation energy: -32.79 kJ/mol of atoms
Electronic total energy: -4.04 eV per atom
ρ: 7.37 g/cm³
D(E_F): 1.3030 states/eV per atom

a b c (Å): 5.3100 5.3100 26.0794
angles (deg): 90.00 90.00 120.00
Closest atoms and distances in Å follow each position.
Space group R-3m (No. 166, hexagonal axes)
Asymmetric unit:
Pm 0.0000 0.0000 0.1238  1 Ag 3.23, 4 Al 3.24-3.29, 3 Hg 3.26
Pm 0.0000 0.0000 0.3739  4 Al 3.23-3.26, 3 Ag 3.24, 1 Hg 3.29
Al 0.0000 0.0000 0.2502  8 Pm 3.23-3.29
Ag 0.0000 0.0000 0.0000  8 Pm 3.23-3.24
Hg 0.0000 0.0000 0.5000  8 Pm 3.26-3.29



# LiSc2InTe4

A relaxed structure of LiSc2InTe4 (GGA-PBE, Alexandria via LeMat-Bulk).

Output
Raw formation energy: -950.4 meV per atom
Electronic total energy: -4.69 eV per atom
ρ: 5.22 g/cm³
D(E_F): 0.0078 states/eV per atom

a b c (Å): 4.2509 14.3003 15.1121
angles (deg): 90.00 90.00 90.00
Closest atoms and distances in Å follow each position.
Space group Cmcm (No. 63)
Asymmetric unit:
Li 0.0000 0.1671 0.2500  4 Te 2.64
Sc 0.0000 0.3688 0.5655  6 Te 2.94-3.00
In 0.0000 0.1173 0.7500  6 Te 3.28-3.47
Te 0.0000 0.0000 0.0000  4 Sc 3.00
Te 0.0000 0.2688 0.1045  1 Li 2.64, 1 Sc 2.94
Te 0.0000 0.4429 0.7500  2 Li 2.64